Model A:
DFT (meta-GGA SCAN) results for a PBEsol-optimized structure of Co2PtCl.

Cell: 2.759 4.330 4.454 Å, 90.00 90.00 90.00°
Fractional positions:
Co 0.500 0.000 0.081
Co 0.500 0.500 0.666
Pt 0.000 0.000 0.590
Cl 0.500 0.500 0.164

Model B:
DFT (meta-GGA SCAN) results for a PBEsol-optimized structure of Co2PtCl.

Cell: 2.750 4.589 4.938 Å, 117.69 106.17 90.00°
Fractional positions:
Co 0.730 0.730 0.460
Co 0.270 0.270 0.540
Pt 0.500 0.000 0.000
Cl 0.000 0.500 0.000

Model C:
DFT (meta-GGA SCAN) results for a PBEsol-optimized structure of Co2PtCl.

Cell: 6.497 5.240 6.497 Å, 128.31 90.00 128.31°
Fractional positions:
Co 0.411 0.250 0.375
Co 0.839 0.250 0.875
Co 0.125 0.750 0.589
Co 0.625 0.750 0.161
Pt 0.250 0.500 0.750
Pt 0.000 0.000 0.000
Cl 0.750 0.500 0.250
Cl 0.500 0.000 0.500

Most stable pick: model A. Distance to second place: 307 meV/atom.

Model A:
DFT (meta-GGA SCAN) results for a PBEsol-optimized structure of CoRhCl2.

Cell: 3.104 3.104 7.369 Å, 90.00 90.00 107.42°
Fractional positions:
Co 0.000 0.000 0.478
Rh 0.500 0.500 0.288
Cl 0.000 0.000 0.068
Cl 0.500 0.500 0.666

Model B:
DFT (meta-GGA SCAN) results for a PBEsol-optimized structure of CoRhCl2.

Cell: 4.306 4.306 4.306 Å, 60.00 60.00 60.00°
Fractional positions:
Co 0.500 0.500 0.500
Rh 0.000 0.000 0.000
Cl 0.250 0.250 0.250
Cl 0.750 0.750 0.750

Most stable pick: model A. Distance to second place: 425 meV/atom.

Model A:
DFT (meta-GGA SCAN) results for a PBEsol-optimized structure of CoRhCl2.

Cell: 3.057 4.281 4.281 Å, 90.00 90.00 90.00°
Fractional positions:
Co 0.500 0.500 0.500
Rh 0.500 0.000 0.000
Cl 0.000 0.000 0.500
Cl 0.000 0.500 0.000

Model B:
DFT (meta-GGA SCAN) results for a PBEsol-optimized structure of CoRhCl2.

Cell: 3.117 3.117 7.646 Å, 78.24 78.24 60.00°
Fractional positions:
Co 0.500 0.500 0.500
Rh 0.000 0.000 0.000
Cl 0.899 0.899 0.303
Cl 0.101 0.101 0.697

Most stable pick: model B. Distance to second place: 593 meV/atom.